# 1
Compound: KGaSb2Ru
Source: the Alexandria database
Functional: PBE-GGA
Structure: relaxed

Computed properties:
- uncorrected formation energy (meV per atom) = 579
- calculated total energy (eV per atom) = -3.7501

Geometry as POSCAR:
```
KGaSb2Ru
1.0
5.433 0.000 0.000
0.000 4.760 0.000
0.000 0.000 5.433
K Ga Ru Sb
1 1 1 2
direct
0.500 0.500 0.500 K
0.000 0.000 0.000 Ga
0.000 0.500 0.000 Ru
0.500 0.000 0.000 Sb
0.000 0.000 0.500 Sb
```

=====

# 2
Compound: KTl2GaRu
Source: the Alexandria database
Functional: PBE-GGA
Structure: relaxed

Computed properties:
- calculated total energy (eV per atom) = -3.6703
- formation energy from the elements (kJ/mol of formula units) = -21

Geometry as POSCAR:
```
KTl2GaRu
1.0
5.340 0.000 0.000
0.000 5.340 0.000
0.000 0.000 4.922
Tl K Ga Ru
2 1 1 1
direct
0.000 0.500 0.000 Tl
0.500 0.000 0.000 Tl
0.500 0.500 0.500 K
0.000 0.000 0.500 Ga
0.000 0.000 0.000 Ru
```